An optimized crystal structure of TaAl2Pb. Source: Alexandria via LeMat-Bulk, functional GGA-PBE.

a = 5.2639 Å, b = 5.2639 Å, c = 5.1521 Å
α = 95.23°, β = 95.23°, γ = 33.52°
Last column: nearest neighbours and their distance in Å.
Element x y z (fractional)
Ta (0.0000, 0.0000, 0.0000)  6 Al 2.96-2.97, 4 Pb 2.99, 2 Ta 3.04
Al (0.2617, 0.2617, 0.7827)  4 Al 2.73-3.04, 1 Pb 2.93, 3 Ta 2.96-2.97
Al (0.7383, 0.7383, 0.2173)  4 Al 2.73-3.04, 1 Pb 2.93, 3 Ta 2.96-2.97
Pb (0.5000, 0.5000, 0.5000)  6 Al 2.93-3.26, 4 Ta 2.99, 2 Pb 3.04

## Properties
VASP energy = -5.4767 eV per atom
symmetry = C2/m (12)
calculated volume = 19.62 Å³/atom
spin magnetization = 0.000 μB/atom


An optimized crystal structure of TaAl2Pb. Source: Alexandria via LeMat-Bulk, functional GGA-PBE.

a = 3.0828 Å, b = 5.0625 Å, c = 5.0796 Å
α = 90.00°, β = 90.00°, γ = 90.00°
Last column: nearest neighbours and their distance in Å.
Element x y z (fractional)
Ta (0.0000, 0.0000, 0.0000)  4 Al 2.96, 4 Pb 2.97, 2 Ta 3.08
Al (0.0000, 0.5000, 0.5000)  4 Pb 2.96, 6 Al 2.97-3.08
Al (0.5000, 0.5000, 0.0000)  4 Ta 2.96, 6 Al 2.97-3.08
Pb (0.5000, 0.0000, 0.5000)  4 Al 2.96, 4 Ta 2.97, 2 Pb 3.08

## Properties
VASP energy = -5.3600 eV per atom
symmetry = Pmmm (47)
calculated volume = 19.82 Å³/atom
spin magnetization = 0.000 μB/atom


An optimized crystal structure of TaAl2Pb. Source: Alexandria via LeMat-Bulk, functional GGA-PBE.

a = 5.0538 Å, b = 5.0538 Å, c = 3.0590 Å
α = 90.00°, β = 90.00°, γ = 90.00°
Last column: nearest neighbours and their distance in Å.
Element x y z (fractional)
Ta (0.0000, 0.0000, 0.0000)  8 Al 2.95, 2 Ta 3.06
Al (0.0000, 0.5000, 0.5000)  4 Pb 2.95, 4 Ta 2.95, 2 Al 3.06
Al (0.5000, 0.0000, 0.5000)  4 Pb 2.95, 4 Ta 2.95, 2 Al 3.06
Pb (0.5000, 0.5000, 0.0000)  8 Al 2.95, 2 Pb 3.06

## Properties
VASP energy = -5.4665 eV per atom
symmetry = P4/mmm (123)
calculated volume = 19.53 Å³/atom
spin magnetization = 0.000 μB/atom


An optimized crystal structure of TaAl2Pb. Source: Alexandria via LeMat-Bulk, functional GGA-PBE.

a = 2.9538 Å, b = 4.5744 Å, c = 6.0776 Å
α = 90.00°, β = 93.98°, γ = 90.00°
Last column: nearest neighbours and their distance in Å.
Element x y z (fractional)
Ta (0.0000, 0.0000, 0.0000)  6 Al 2.73-2.86, 2 Ta 2.95
Al (0.5269, 0.5000, 0.1398)  4 Al 2.73-2.95, 1 Pb 2.83, 4 Ta 2.84-2.86
Al (0.5734, 0.0000, 0.3841)  4 Al 2.73-2.95, 2 Ta 2.73-2.79, 2 Pb 2.89
Pb (0.5659, 0.5000, 0.6755)  3 Al 2.83-2.89, 2 Pb 2.95

## Properties
VASP energy = -5.5138 eV per atom
symmetry = Pm (6)
calculated volume = 20.48 Å³/atom
spin magnetization = 0.000 μB/atom


An optimized crystal structure of TaAl2Pb. Source: Alexandria via LeMat-Bulk, functional GGA-PBE.

a = 3.0078 Å, b = 3.0078 Å, c = 9.0637 Å
α = 90.00°, β = 90.00°, γ = 94.46°
Last column: nearest neighbours and their distance in Å.
Element x y z (fractional)
Ta (0.0000, 0.0000, 0.0000)  4 Al 2.77-2.90, 4 Ta 3.01
Al (0.0000, 0.0000, 0.5832)  8 Al 2.79-3.01
Al (0.5000, 0.5000, 0.7931)  4 Ta 2.77-2.90, 8 Al 2.79-3.01
Pb (0.5000, 0.5000, 0.2681)  4 Pb 3.01, 4 Ta 3.17-3.28

## Properties
VASP energy = -5.5408 eV per atom
symmetry = Cmm2 (35)
calculated volume = 20.44 Å³/atom
spin magnetization = 0.000 μB/atom


An optimized crystal structure of TaAl3Pb. Source: Alexandria via LeMat-Bulk, functional GGA-PBE.

a = 5.0873 Å, b = 5.0873 Å, c = 5.0873 Å
α = 90.00°, β = 90.00°, γ = 90.00°
Last column: nearest neighbours and their distance in Å.
Element x y z (fractional)
Ta (0.0000, 0.0000, 0.0000)  6 Al 2.54
Al (0.0000, 0.0000, 0.5000)  2 Ta 2.54
Al (0.0000, 0.5000, 0.0000)  2 Ta 2.54
Al (0.5000, 0.0000, 0.0000)  2 Ta 2.54
Pb (0.5000, 0.5000, 0.5000)  12 Al 3.60

## Properties
VASP energy = -4.6832 eV per atom
symmetry = Pm-3m (221)
polymorph energy (0 for the lowest one) = 0 meV per atom
calculated volume = 26.33 Å³/atom
spin magnetization = 0.000 μB/atom


An optimized crystal structure of TaAl2Pb. Source: Alexandria via LeMat-Bulk, functional GGA-PBE.

a = 5.3254 Å, b = 5.3254 Å, c = 5.1244 Å
α = 95.85°, β = 95.85°, γ = 32.87°
Last column: nearest neighbours and their distance in Å.
Element x y z (fractional)
Ta (0.0000, 0.0000, 0.0000)  7 Al 2.83-3.13, 2 Ta 3.01, 3 Pb 3.04-3.16
Al (0.2662, 0.2662, 0.7883)  4 Pb 2.92-3.03, 3 Ta 2.93-3.03, 5 Al 2.96-3.14
Al (0.5142, 0.5142, 0.5368)  4 Ta 2.83-3.13, 1 Pb 2.89, 5 Al 2.96-3.14
Pb (0.7500, 0.7500, 0.2722)  5 Al 2.89-3.03, 2 Pb 3.01, 3 Ta 3.04-3.16

## Properties
VASP energy = -5.5150 eV per atom
symmetry = Cm (8)
calculated volume = 19.61 Å³/atom
spin magnetization = 0.000 μB/atom


An optimized crystal structure of TaAl2Pb. Source: Alexandria via LeMat-Bulk, functional GGA-PBE.

a = 10.3621 Å, b = 10.3621 Å, c = 10.3621 Å
α = 17.04°, β = 17.04°, γ = 17.04°
Last column: nearest neighbours and their distance in Å.
Element x y z (fractional)
Ta (0.0000, 0.0000, 0.0000)  6 Al 2.82, 6 Ta 3.07
Al (0.2615, 0.2615, 0.2615)  3 Ta 2.82, 6 Al 3.07
Al (0.7385, 0.7385, 0.7385)  3 Ta 2.82, 6 Al 3.07
Pb (0.5000, 0.5000, 0.5000)  6 Pb 3.07, 6 Al 3.40

## Properties
VASP energy = -5.5696 eV per atom
symmetry = R-3m (166)
calculated volume = 20.85 Å³/atom
spin magnetization = 0.000 μB/atom


An optimized crystal structure of TaAl2Pb. Source: Alexandria via LeMat-Bulk, functional GGA-PBE.

a = 2.9851 Å, b = 2.9851 Å, c = 9.2316 Å
α = 90.00°, β = 90.00°, γ = 90.00°
Last column: nearest neighbours and their distance in Å.
Element x y z (fractional)
Ta (0.0000, 0.0000, 0.0000)  8 Al 2.85, 4 Ta 2.99
Al (0.5000, 0.5000, 0.2070)  4 Ta 2.85, 4 Al 2.99
Al (0.5000, 0.5000, 0.7930)  4 Ta 2.85, 4 Al 2.99
Pb (0.0000, 0.0000, 0.5000)  4 Pb 2.99

## Properties
VASP energy = -5.6240 eV per atom
symmetry = P4/mmm (123)
calculated volume = 20.57 Å³/atom
spin magnetization = 0.000 μB/atom


An optimized crystal structure of TaAl2Pb. Source: Alexandria via LeMat-Bulk, functional GGA-PBE.

a = 5.1625 Å, b = 5.1625 Å, c = 3.0673 Å
α = 90.00°, β = 90.00°, γ = 108.16°
Last column: nearest neighbours and their distance in Å.
Element x y z (fractional)
Ta (0.0000, 0.0000, 0.0000)  8 Al 3.00, 2 Pb 3.03, 2 Ta 3.07
Al (0.0000, 0.5000, 0.5000)  4 Ta 3.00, 4 Pb 3.00, 4 Al 3.03-3.07
Al (0.5000, 0.0000, 0.5000)  4 Ta 3.00, 4 Pb 3.00, 4 Al 3.03-3.07
Pb (0.5000, 0.5000, 0.0000)  8 Al 3.00, 2 Ta 3.03, 2 Pb 3.07

## Properties
VASP energy = -5.4525 eV per atom
symmetry = Cmmm (65)
calculated volume = 19.42 Å³/atom
spin magnetization = 0.000 μB/atom


An optimized crystal structure of TaAl2Pb. Source: Alexandria via LeMat-Bulk, functional GGA-PBE.

a = 3.6423 Å, b = 3.6423 Å, c = 5.8688 Å
α = 90.00°, β = 90.00°, γ = 90.00°
Last column: nearest neighbours and their distance in Å.
Element x y z (fractional)
Ta (0.0000, 0.0000, 0.0000)  5 Al 2.69-2.86
Al (0.0000, 0.0000, 0.4589)  1 Ta 2.69, 4 Al 2.95, 4 Pb 3.00
Al (0.5000, 0.5000, 0.2136)  4 Ta 2.86, 2 Pb 2.88-2.99, 4 Al 2.95
Pb (0.5000, 0.5000, 0.7224)  6 Al 2.88-3.00, 4 Ta 3.05

## Properties
VASP energy = -5.5211 eV per atom
symmetry = P4mm (99)
calculated volume = 19.46 Å³/atom
spin magnetization = 0.000 μB/atom


An optimized crystal structure of TaAl4Pb. Source: Alexandria via LeMat-Bulk, functional GGA-PBE.

a = 5.3296 Å, b = 5.3296 Å, c = 5.3296 Å
α = 60.00°, β = 60.00°, γ = 60.00°
Last column: nearest neighbours and their distance in Å.
Element x y z (fractional)
Ta (0.0000, 0.0000, 0.0000)  12 Al 3.12, 4 Pb 3.26
Al (0.1211, 0.6263, 0.6263)  6 Al 2.64-2.69
Al (0.6263, 0.1211, 0.6263)  6 Al 2.64-2.69
Al (0.6263, 0.6263, 0.1211)  6 Al 2.64-2.69
Al (0.6263, 0.6263, 0.6263)  6 Al 2.64-2.69
Pb (0.2500, 0.2500, 0.2500)  12 Al 3.13, 4 Ta 3.26

## Properties
VASP energy = -4.9947 eV per atom
symmetry = F-43m (216)
calculated volume = 17.84 Å³/atom
spin magnetization = 0.000 μB/atom


An optimized crystal structure of TaAl2Pb. Source: Alexandria via LeMat-Bulk, functional GGA-PBE.

a = 6.2379 Å, b = 6.2379 Å, c = 6.2379 Å
α = 102.13°, β = 102.13°, γ = 125.44°
Last column: nearest neighbours and their distance in Å.
Element x y z (fractional)
Ta (0.0000, 0.0000, 0.0000)  4 Al 2.72, 2 Pb 2.86
Ta (0.7500, 0.2500, 0.5000)  4 Al 2.72, 2 Pb 2.86
Al (0.0972, 0.6250, 0.9722)  2 Ta 2.72, 2 Al 2.89, 2 Pb 3.02
Al (0.3750, 0.3472, 0.4722)  2 Ta 2.72, 2 Al 2.89, 2 Pb 3.02
Al (0.6528, 0.1250, 0.0278)  2 Ta 2.72, 2 Al 2.89, 2 Pb 3.02
Al (0.8750, 0.9028, 0.5278)  2 Ta 2.72, 2 Al 2.89, 2 Pb 3.02
Pb (0.2500, 0.7500, 0.5000)  2 Ta 2.86, 4 Al 3.02
Pb (0.5000, 0.5000, 0.0000)  2 Ta 2.86, 4 Al 3.02

## Properties
VASP energy = -5.1293 eV per atom
symmetry = I-42d (122)
calculated volume = 21.97 Å³/atom
spin magnetization = 0.000 μB/atom


An optimized crystal structure of TaAl2Pb. Source: Alexandria via LeMat-Bulk, functional GGA-PBE.

a = 3.6069 Å, b = 3.6069 Å, c = 5.9571 Å
α = 90.00°, β = 90.00°, γ = 90.00°
Last column: nearest neighbours and their distance in Å.
Element x y z (fractional)
Ta (0.0000, 0.0000, 0.0000)  8 Al 2.86, 2 Pb 2.98
Al (0.5000, 0.5000, 0.2154)  1 Al 2.57, 4 Ta 2.86
Al (0.5000, 0.5000, 0.7846)  1 Al 2.57, 4 Ta 2.86
Pb (0.0000, 0.0000, 0.5000)  2 Ta 2.98, 8 Al 3.06

## Properties
VASP energy = -5.5824 eV per atom
symmetry = P4/mmm (123)
calculated volume = 19.38 Å³/atom
spin magnetization = 0.000 μB/atom


An optimized crystal structure of TaAl2Pb. Source: Alexandria via LeMat-Bulk, functional GGA-PBE.

a = 10.8594 Å, b = 10.8594 Å, c = 10.8594 Å
α = 16.05°, β = 16.05°, γ = 16.05°
Last column: nearest neighbours and their distance in Å.
Element x y z (fractional)
Ta (0.0000, 0.0000, 0.0000)  3 Al 2.86, 6 Ta 3.03
Al (0.2630, 0.2630, 0.2630)  3 Ta 2.86, 9 Al 2.91-3.03
Al (0.5241, 0.5241, 0.5241)  9 Al 2.91-3.03
Pb (0.7520, 0.7520, 0.7520)  6 Pb 3.03, 3 Ta 3.25

## Properties
VASP energy = -5.4727 eV per atom
symmetry = R3m (160)
calculated volume = 21.32 Å³/atom
spin magnetization = 0.000 μB/atom


An optimized crystal structure of TaAl3Pb. Source: Alexandria via LeMat-Bulk, functional GGA-PBE.

a = 5.1491 Å, b = 5.1491 Å, c = 5.1491 Å
α = 90.00°, β = 90.00°, γ = 90.00°
Last column: nearest neighbours and their distance in Å.
Element x y z (fractional)
Ta (0.0000, 0.0000, 0.0000)  12 Al 3.64
Al (0.0000, 0.5000, 0.5000)  2 Pb 2.57
Al (0.5000, 0.0000, 0.5000)  2 Pb 2.57
Al (0.5000, 0.5000, 0.0000)  2 Pb 2.57
Pb (0.5000, 0.5000, 0.5000)  6 Al 2.57

## Properties
VASP energy = -3.5921 eV per atom
symmetry = Pm-3m (221)
polymorph energy (0 for the lowest one) = 1091 meV per atom
calculated volume = 27.30 Å³/atom
spin magnetization = 0.433 μB/atom


An optimized crystal structure of Ta4AlPb. Source: Alexandria via LeMat-Bulk, functional GGA-PBE.

a = 5.5673 Å, b = 5.5673 Å, c = 5.5673 Å
α = 60.00°, β = 60.00°, γ = 60.00°
Last column: nearest neighbours and their distance in Å.
Element x y z (fractional)
Ta (0.1239, 0.1239, 0.1239)  6 Ta 2.76-2.81
Ta (0.1239, 0.1239, 0.6283)  6 Ta 2.76-2.81
Ta (0.1239, 0.6283, 0.1239)  6 Ta 2.76-2.81
Ta (0.6283, 0.1239, 0.1239)  6 Ta 2.76-2.81
Al (0.7500, 0.7500, 0.7500)  12 Ta 3.26, 4 Pb 3.41
Pb (0.5000, 0.5000, 0.5000)  12 Ta 3.27, 4 Al 3.41

## Properties
VASP energy = -8.6706 eV per atom
symmetry = F-43m (216)
calculated volume = 20.34 Å³/atom
spin magnetization = 0.000 μB/atom


An optimized crystal structure of TaAl2Pb. Source: Alexandria via LeMat-Bulk, functional GGA-PBE.

a = 5.3284 Å, b = 5.3284 Å, c = 5.3284 Å
α = 134.38°, β = 134.38°, γ = 66.50°
Last column: nearest neighbours and their distance in Å.
Element x y z (fractional)
Ta (0.0000, 0.0000, 0.0000)  4 Pb 2.92, 8 Al 3.04
Al (0.2500, 0.7500, 0.5000)  4 Al 2.92, 4 Pb 3.04, 4 Ta 3.04
Al (0.7500, 0.2500, 0.5000)  4 Al 2.92, 4 Pb 3.04, 4 Ta 3.04
Pb (0.5000, 0.5000, 0.0000)  4 Ta 2.92, 8 Al 3.04

## Properties
VASP energy = -5.4649 eV per atom
symmetry = I4/mmm (139)
calculated volume = 19.02 Å³/atom
spin magnetization = 0.000 μB/atom


An optimized crystal structure of Tb2AlPb. Source: Alexandria via LeMat-Bulk, functional GGA-PBE.

a = 4.9092 Å, b = 4.9092 Å, c = 4.3336 Å
α = 90.00°, β = 90.00°, γ = 90.00°
Last column: nearest neighbours and their distance in Å.
Element x y z (fractional)
Tb (0.0000, 0.5000, 0.0000)  4 Pb 3.27, 4 Al 3.27, 4 Tb 3.47
Tb (0.5000, 0.0000, 0.0000)  4 Pb 3.27, 4 Al 3.27, 4 Tb 3.47
Al (0.0000, 0.0000, 0.5000)  8 Tb 3.27, 4 Pb 3.47
Pb (0.5000, 0.5000, 0.5000)  8 Tb 3.27, 4 Al 3.47

## Properties
VASP energy = -4.5564 eV per atom
symmetry = P4/mmm (123)
calculated volume = 26.11 Å³/atom
spin magnetization = 0.000 μB/atom


An optimized crystal structure of Tb6Al2Pb. Source: Alexandria via LeMat-Bulk, functional GGA-PBE.

a = 8.7782 Å, b = 8.7782 Å, c = 8.7782 Å
α = 113.09°, β = 111.96°, γ = 103.52°
Last column: nearest neighbours and their distance in Å.
Element x y z (fractional)
Tb (0.0259, 0.8207, 0.2053)  3 Al 2.97-3.12
Tb (0.2393, 0.5345, 0.2952)  2 Al 3.00-3.24, 1 Pb 3.27
Tb (0.2393, 0.9441, 0.7048)  2 Al 3.00-3.24, 1 Pb 3.27
Tb (0.2792, 0.3121, 0.5913)  3 Al 3.11-3.21, 1 Pb 3.29
Tb (0.2792, 0.6879, 0.9671)  3 Al 3.11-3.21, 1 Pb 3.29
Tb (0.3846, 0.1793, 0.2053)  3 Al 2.97-3.12
Tb (0.6154, 0.8207, 0.7947)  3 Al 2.97-3.12
Tb (0.7208, 0.3121, 0.0329)  3 Al 3.11-3.21, 1 Pb 3.29
Tb (0.7208, 0.6879, 0.4087)  3 Al 3.11-3.21, 1 Pb 3.29
Tb (0.7607, 0.0559, 0.2952)  2 Al 3.00-3.24, 1 Pb 3.27
Tb (0.7607, 0.4655, 0.7048)  2 Al 3.00-3.24, 1 Pb 3.27
Tb (0.9741, 0.1793, 0.7947)  3 Al 2.97-3.12
Al (0.0000, 0.1406, 0.1406)  1 Al 2.72, 2 Tb 3.00
Al (0.0000, 0.8594, 0.8594)  1 Al 2.72, 2 Tb 3.00
Al (0.3805, 0.3805, 0.0000)  1 Al 2.60
Al (0.6195, 0.6195, 0.0000)  1 Al 2.60
Pb (0.0000, 0.5000, 0.5000)  8 Tb 3.27-3.29, 2 Al 3.48
Pb (0.5000, 0.0000, 0.5000)  12 Tb 3.46-3.72

## Properties
VASP energy = -4.6384 eV per atom
symmetry = Immm (71)
calculated volume = 28.69 Å³/atom
spin magnetization = 0.000 μB/atom